Record 1
DFT (PBE-GGA) results for an optimized crystal structure of NaTlS2.

The formation energy without anion corrections comes out at -0.53 eV per atom. Its density of states at the Fermi level is 0.000 states/eV per atom. The magnetic moment comes out at 0.00 μB/cell. Its total DFT energy (no corrections) is -28.1 eV per cell.

The structure belongs to space group Amm2 (No. 38); the cell edges are 5.870, 4.615 and 7.981 Å and the angles 90.00°, 90.00° and 90.00°. The asymmetric unit holds Na at (0.000, 0.000, 0.000), Tl at (0.500, 0.000, 0.667) and S at (0.184, 0.000, 0.334).

***

Record 2
DFT (PBE-GGA) results for an optimized crystal structure of GaBiSbTe2.

The formation energy without anion corrections comes out at 0.59 eV per atom. Its density of states at the Fermi level is 0.985 states/eV per atom. The magnetic moment comes out at 1.10 μB/cell. Its total DFT energy (no corrections) is -14.4 eV per cell. The value obtained for the offset from the most stable computed form is 0.218 eV per atom.

The structure belongs to space group P4/mmm (No. 123); the cell edges are 6.037, 6.037 and 5.828 Å and the angles 90.00°, 90.00° and 90.00°. The asymmetric unit holds Ga at (0.000, 0.000, 0.000), Bi at (0.500, 0.500, 0.500), Sb at (0.500, 0.500, 0.000) and Te at (0.000, 0.500, 0.500).

***

Record 3
DFT (PBE-GGA) results for an optimized crystal structure of TcTeOs2.

The formation energy without anion corrections comes out at 0.95 eV per atom. Its density of states at the Fermi level is 1.278 states/eV per atom. The magnetic moment comes out at 8.97 μB/cell. Its total DFT energy (no corrections) is -128.7 eV per cell. The value obtained for the offset from the most stable computed form is 0.373 eV per atom.

The structure belongs to space group Fm-3m (No. 225); the cell edges are 6.405, 6.405 and 6.405 Å and the angles 90.00°, 90.00° and 90.00°. The asymmetric unit holds Tc at (0.000, 0.000, 0.000), Te at (0.000, 0.000, 0.500) and Os at (0.250, 0.250, 0.250).

***

Record 4
DFT (PBE-GGA) results for an optimized crystal structure of TlSn2Pt2.

Its density of states at the Fermi level is 0.509 states/eV per atom. The magnetic moment comes out at 0.00 μB/cell. Its total DFT energy (no corrections) is -47.3 eV per cell. The calculation puts the formation energy at -1.20 eV per formula unit.

The structure belongs to space group I4/mmm (No. 139); the cell edges are 4.013, 4.013 and 15.398 Å and the angles 90.00°, 90.00° and 90.00°. The asymmetric unit holds Tl at (0.000, 0.000, 0.000), Sn at (0.000, 0.000, 0.369) and Pt at (0.000, 0.500, 0.250).

***

Please write out number 2 again, unchanged.
DFT (PBE-GGA) results for an optimized crystal structure of GaBiSbTe2.

The formation energy without anion corrections comes out at 0.59 eV per atom. Its density of states at the Fermi level is 0.985 states/eV per atom. The magnetic moment comes out at 1.10 μB/cell. Its total DFT energy (no corrections) is -14.4 eV per cell. The value obtained for the offset from the most stable computed form is 0.218 eV per atom.

The structure belongs to space group P4/mmm (No. 123); the cell edges are 6.037, 6.037 and 5.828 Å and the angles 90.00°, 90.00° and 90.00°. The asymmetric unit holds Ga at (0.000, 0.000, 0.000), Bi at (0.500, 0.500, 0.500), Sb at (0.500, 0.500, 0.000) and Te at (0.000, 0.500, 0.500).

***

What did the first record say?
DFT (PBE-GGA) results for an optimized crystal structure of NaTlS2.

The formation energy without anion corrections comes out at -0.53 eV per atom. Its density of states at the Fermi level is 0.000 states/eV per atom. The magnetic moment comes out at 0.00 μB/cell. Its total DFT energy (no corrections) is -28.1 eV per cell.

The structure belongs to space group Amm2 (No. 38); the cell edges are 5.870, 4.615 and 7.981 Å and the angles 90.00°, 90.00° and 90.00°. The asymmetric unit holds Na at (0.000, 0.000, 0.000), Tl at (0.500, 0.000, 0.667) and S at (0.184, 0.000, 0.334).

***

Which formula does entry 4 have?
TlSn2Pt2